(1)
# LiPmSmMn, optimized geometry, DFT PBE
# **Energy relative to the elements**: 0.16 eV/atom
# **Crystal system**: cubic
# **SG**: F-43m (216)
data_LiPmSmMn
_chemical_formula_sum 'Li1 Pm1 Sm1 Mn1'
_cell_length_a 5.153
_cell_length_b 5.153
_cell_length_c 5.153
_cell_angle_alpha 60.00
_cell_angle_beta 60.00
_cell_angle_gamma 60.00
_symmetry_space_group_name_H-M 'P 1'
_symmetry_Int_Tables_number 1
loop_
_symmetry_equiv_pos_as_xyz
'x,y,z'
loop_
_atom_site_label
_atom_site_fract_x
_atom_site_fract_y
_atom_site_fract_z
Mn1 0.250 0.250 0.250
Li1 0.750 0.750 0.750
Sm1 0.500 0.500 0.500
Pm1 0.000 0.000 0.000

***

(2)
# NbPPd, optimized geometry, DFT PBE
# **Energy relative to the elements**: -0.49 eV/atom
# **Crystal system**: monoclinic
# **SG**: C2/m (12)
data_NbPPd
_chemical_formula_sum 'Nb4 P4 Pd4'
_cell_length_a 7.237
_cell_length_b 3.168
_cell_length_c 10.672
_cell_angle_alpha 90.00
_cell_angle_beta 127.85
_cell_angle_gamma 90.00
_symmetry_space_group_name_H-M 'P 1'
_symmetry_Int_Tables_number 1
loop_
_symmetry_equiv_pos_as_xyz
'x,y,z'
loop_
_atom_site_label
_atom_site_fract_x
_atom_site_fract_y
_atom_site_fract_z
Pd1 0.698 0.000 0.781
Pd2 0.302 0.500 0.719
Pd3 0.302 0.000 0.219
Pd4 0.698 0.500 0.281
Nb1 0.823 0.000 0.098
Nb2 0.823 0.500 0.598
Nb3 0.177 0.000 0.902
Nb4 0.177 0.500 0.402
P1 0.500 0.500 0.000
P2 0.500 0.000 0.500
P3 0.000 0.500 0.000
P4 0.000 0.000 0.500

***

(3)
# BaTl5Pb2, optimized geometry, DFT PBE
# **Energy relative to the elements**: -0.14 eV/atom
# **Crystal system**: monoclinic
# **SG**: C2/m (12)
data_BaTl5Pb2
_chemical_formula_sum 'Ba1 Tl5 Pb2'
_cell_length_a 5.618
_cell_length_b 5.618
_cell_length_c 9.145
_cell_angle_alpha 107.95
_cell_angle_beta 107.89
_cell_angle_gamma 90.00
_symmetry_space_group_name_H-M 'P 1'
_symmetry_Int_Tables_number 1
loop_
_symmetry_equiv_pos_as_xyz
'x,y,z'
loop_
_atom_site_label
_atom_site_fract_x
_atom_site_fract_y
_atom_site_fract_z
Tl1 0.637 0.137 0.275
Tl2 0.500 0.500 0.000
Tl3 0.363 0.863 0.725
Tl4 0.138 0.637 0.275
Tl5 0.862 0.363 0.725
Ba1 0.000 0.000 0.000
Pb1 0.754 0.755 0.508
Pb2 0.246 0.245 0.492

***

Number 1: uncorrected energy -4.981 eV/atom. Number 2: uncorrected energy -7.378 eV/atom. Number 3: uncorrected energy -2.787 eV/atom.